Material: Na2MoPd2O6
Method: DFT, GGA+U
State: relaxed

Cell lengths 5.456, 5.456, 6.079 Å; angles 105.13, 105.13, 110.45 degrees
Atoms (fractional coordinates):
Na1 0.185 0.815 0.000
Na2 0.815 0.185 0.000
Mo1 0.000 0.000 0.500
Pd1 0.333 0.667 0.500
Pd2 0.667 0.333 0.500
O1 0.030 0.344 0.721
O2 0.234 0.234 0.332
O3 0.344 0.030 0.721
O4 0.656 0.970 0.279
O5 0.766 0.766 0.668
O6 0.970 0.656 0.279

Output
Space-group type ... C2/m, No. 12
E ... -5.6160 eV per atom